# 1
VASP calculation (PBE-GGA) on a relaxed structure of BaSO4.

```
BaSO4
1.0
7.008 0.179 0.000
-1.743 7.118 0.000
0.000 0.000 7.599
S O Ba
4 16 4
Cartesian
5.952 1.518 6.310
1.576 4.987 5.089
3.690 2.310 2.511
-0.686 5.779 1.289
5.070 2.641 5.891
2.453 4.539 6.231
-0.179 0.891 5.168
-0.162 1.768 7.419
5.076 0.377 6.711
5.445 6.407 2.432
0.196 4.657 1.708
5.428 5.530 0.181
0.190 6.920 0.888
0.700 3.847 4.688
2.470 5.416 3.980
0.695 6.110 5.508
4.565 3.451 2.912
2.795 1.881 3.619
2.812 2.758 1.368
4.571 1.188 2.092
2.809 5.675 1.253
0.177 2.027 2.547
5.089 5.271 5.053
2.456 1.622 6.347
```

---

# 2
VASP calculation (PBE-GGA) on a relaxed structure of BaS5O.

```
BaS5O
1.0
4.906 1.153 -3.535
0.561 4.100 -2.727
-0.419 0.944 9.272
O S Ba
1 5 1
Cartesian
4.396 3.342 1.624
1.184 3.252 0.615
0.969 2.445 5.498
1.898 3.235 3.899
1.367 3.586 -2.756
5.057 4.727 -4.687
3.714 4.948 -0.642
```

---

# 3
VASP calculation (PBE-GGA) on a relaxed structure of BaSbS2O8.

```
BaSbS2O8
1.0
5.030 0.000 0.000
2.515 4.356 0.000
2.515 1.452 8.456
O Sb S Ba
8 1 2 1
Cartesian
6.832 2.683 1.774
3.228 3.125 6.682
3.938 1.454 1.774
4.320 4.575 1.774
2.515 1.452 3.736
5.740 1.233 6.682
7.545 4.356 4.720
6.122 4.354 6.682
0.000 0.000 0.000
7.545 4.356 6.220
2.515 1.452 2.236
5.030 2.904 4.228
```

---

no.,total DFT energy (no corrections) (eV per atom),magnetic moment (μB/f.u.),formation energy (no corrections) (kJ per mole of atoms)
1,-6.5430,0.000,-215.1
2,-4.7378,0.000,-77.8
3,-6.0522,1.000,-150.0